This record from the Alexandria database describes a geometry-optimized Ac5La12Tm structure. The functional is PBE-GGA.

abc: 12.3347 10.9435 6.2907
angles: 89.16 89.27 55.71
Fractional coordinates of all 18 atoms:
Ac1 0.5000 0.0000 0.5000
Ac2 0.1622 0.6762 0.4998
Ac3 0.8378 0.3238 0.5002
Ac4 0.6652 0.6709 0.0020
Ac5 0.3348 0.3291 0.9980
La1 0.8176 0.0001 0.4248
La2 0.1824 0.9999 0.5752
La3 0.6944 0.0015 0.9251
La4 0.3056 0.9985 0.0749
La5 0.3457 0.6712 0.9516
La6 0.9838 0.6707 0.0490
La7 0.0162 0.3293 0.9510
La8 0.6543 0.3288 0.0484
La9 0.5189 0.3332 0.5493
La10 0.8534 0.6645 0.5524
La11 0.1466 0.3355 0.4476
La12 0.4811 0.6668 0.4507
Tm1 0.0000 0.0000 0.0000

Properties
For the density of states at the Fermi level, the calculation gives 1.56 states/eV/atom. Its energy relative to the elements is 0.075 eV per atom. The raw total energy comes out at -4.600 eV/atom. For the total magnetization, the calculation gives 0.0 μB/f.u.